InMo3: relaxed, PBE.

CIF file:
```
data_InMo3
_cell_length_a 3.2776
_cell_length_b 4.5618
_cell_length_c 9.0724
_cell_angle_alpha 90.00
_cell_angle_beta 90.00
_cell_angle_gamma 90.00
_space_group_name_H-M_alt 'I m m m'
_space_group_IT_number 71
_space_group_name_Hall '-I 2 2'
loop_
_atom_site_label
_atom_site_type_symbol
_atom_site_fract_x
_atom_site_fract_y
_atom_site_fract_z
_atom_site_occupancy
In1 In 0.0000 0.0000 0.0000 1
Mo1 Mo 0.0000 0.0000 0.5000 1
Mo2 Mo 0.0000 0.5000 0.2342 1
```

Calculated values
Formation energy from the elements   5.41 kcal/mol of atoms